A) The following is a GGA-PBE calculation of a relaxed SrInNiBi2 crystal, from Alexandria via LeMat-Bulk.

DOS at the Fermi energy in states/eV per cell: 3.254

a = 5.401 Å, b = 5.401 Å, c = 4.996 Å
α = 90.00°, β = 90.00°, γ = 90.00°
Space group P4/mmm (No. 123)
Unique sites:
Sr1 0.000 0.000 0.000
In1 0.500 0.500 0.000
Ni1 0.500 0.500 0.500
Bi1 0.000 0.500 0.500

B) The following is a GGA-PBE calculation of a relaxed SrInNiBi2 crystal, from Alexandria via LeMat-Bulk.

DOS at the Fermi energy in states/eV per cell: 2.887

a = 5.200 Å, b = 5.200 Å, c = 5.536 Å
α = 90.00°, β = 90.00°, γ = 90.00°
Space group P4/mmm (No. 123)
Unique sites:
Sr1 0.000 0.000 0.000
In1 0.500 0.500 0.000
Ni1 0.000 0.000 0.500
Bi1 0.000 0.500 0.500

Order from most stable to least stable according to the calculation: A), B)

A) The following is a GGA-PBE calculation of a relaxed SrIn2NiBi crystal, from Alexandria via LeMat-Bulk.

DOS at the Fermi energy in states/eV per cell: 2.537

a = 4.993 Å, b = 4.993 Å, c = 5.651 Å
α = 90.00°, β = 90.00°, γ = 90.00°
Space group P4/mmm (No. 123)
Unique sites:
Sr1 0.000 0.000 0.000
In1 0.000 0.500 0.500
Ni1 0.000 0.000 0.500
Bi1 0.500 0.500 0.000

B) The following is a GGA-PBE calculation of a relaxed SrIn2NiBi crystal, from Alexandria via LeMat-Bulk.

DOS at the Fermi energy in states/eV per cell: 3.355

a = 4.967 Å, b = 4.967 Å, c = 5.722 Å
α = 90.00°, β = 90.00°, γ = 90.00°
Space group P4/mmm (No. 123)
Unique sites:
Sr1 0.000 0.000 0.000
In1 0.000 0.500 0.500
Ni1 0.500 0.500 0.500
Bi1 0.500 0.500 0.000

Order from most stable to least stable according to the calculation: A), B)

A) The following is a GGA-PBE calculation of a relaxed TlInNiBi2 crystal, from Alexandria via LeMat-Bulk.

DOS at the Fermi energy in states/eV per cell: 2.681

a = 5.325 Å, b = 5.325 Å, c = 4.988 Å
α = 90.00°, β = 90.00°, γ = 90.00°
Space group P4/mmm (No. 123)
Unique sites:
Tl1 0.000 0.000 0.000
In1 0.500 0.500 0.000
Ni1 0.500 0.500 0.500
Bi1 0.000 0.500 0.500

B) The following is a GGA-PBE calculation of a relaxed TlInNiBi2 crystal, from Alexandria via LeMat-Bulk.

DOS at the Fermi energy in states/eV per cell: 5.490

a = 5.699 Å, b = 5.699 Å, c = 4.735 Å
α = 90.00°, β = 90.00°, γ = 90.00°
Space group P4/mmm (No. 123)
Unique sites:
Tl1 0.000 0.000 0.000
In1 0.500 0.500 0.500
Ni1 0.000 0.000 0.500
Bi1 0.000 0.500 0.000

Order from most stable to least stable according to the calculation: A), B)

A) The following is a GGA-PBE calculation of a relaxed In3BiO crystal, from Alexandria via LeMat-Bulk.

DOS at the Fermi energy in states/eV per cell: 2.869

a = 4.944 Å, b = 4.944 Å, c = 4.944 Å
α = 90.00°, β = 90.00°, γ = 90.00°
Space group Pm-3m (No. 221)
Unique sites:
In1 0.000 0.000 0.500
Bi1 0.500 0.500 0.500
O1 0.000 0.000 0.000

B) The following is a GGA-PBE calculation of a relaxed In3BiO crystal, from Alexandria via LeMat-Bulk.

DOS at the Fermi energy in states/eV per cell: 2.946

a = 5.911 Å, b = 5.911 Å, c = 5.911 Å
α = 90.00°, β = 90.00°, γ = 90.00°
Space group Pm-3m (No. 221)
Unique sites:
In1 0.000 0.000 0.500
Bi1 0.000 0.000 0.000
O1 0.500 0.500 0.500

Order from most stable to least stable according to the calculation: A), B)